No. 1
ScTc5: optimized geometry, PBE-GGA.

Unit cell a=6.1400 b=6.1400 c=4.0374 alpha=90.00 beta=90.00 gamma=142.14
Atoms (fractional coordinates):
1 Sc 0.5000 0.5000 0.0000
2 Tc 0.3260 0.6740 0.5000
3 Tc 0.1805 0.8195 0.0000
4 Tc 0.0000 0.0000 0.5000
5 Tc 0.8195 0.1805 0.0000
6 Tc 0.6740 0.3260 0.5000

## Properties
**E_form**: 94 meV/atom
**SG**: Cmmm (65)
**Spin magnetization**: 0.0 Bohr magnetons per cell
**Calculated volume**: 93.4 Å³ per cell

No. 2
Sc5Tc: optimized geometry, PBE-GGA.

Unit cell a=3.3597 b=5.8518 c=7.6323 alpha=69.47 beta=90.00 gamma=106.68
Atoms (fractional coordinates):
1 Sc 0.0579 0.1158 0.9745
2 Sc 0.3570 0.7139 0.8243
3 Sc 0.6944 0.3888 0.6112
4 Sc 0.0320 0.0639 0.3978
5 Sc 0.3310 0.6619 0.2479
6 Tc 0.6945 0.3890 0.1111

## Properties
**E_form**: -101 meV/atom
**SG**: C2/m (12)
**Spin magnetization**: 0.0 Bohr magnetons per cell
**Calculated volume**: 133.8 Å³ per cell

No. 3
ScTc: optimized geometry, PBE-GGA.

Unit cell a=4.1759 b=4.1759 c=4.1759 alpha=60.00 beta=60.00 gamma=60.00
Last column: magnetic moment on the atom in μB.
Atoms (fractional coordinates):
1 Sc 0.0000 0.0000 0.0000  0.13
2 Tc 0.2500 0.2500 0.2500  1.61

## Properties
**E_form**: 1919 meV/atom
**SG**: F-43m (216)
**Spin magnetization**: 1.9 Bohr magnetons per cell
**Calculated volume**: 51.5 Å³ per cell

No. 4
ScTc: optimized geometry, PBE-GGA.

Unit cell a=9.9329 b=9.9329 c=3.1358 alpha=90.00 beta=90.00 gamma=90.00
Atoms (fractional coordinates):
1 Sc 0.7948 0.6656 0.5000
2 Sc 0.2052 0.3344 0.5000
3 Sc 0.3344 0.7948 0.5000
4 Sc 0.6656 0.2052 0.5000
5 Sc 0.9443 0.2170 0.0000
6 Sc 0.0557 0.7830 0.0000
7 Sc 0.7830 0.9443 0.0000
8 Sc 0.2170 0.0557 0.0000
9 Tc 0.8904 0.4295 0.5000
10 Tc 0.1096 0.5705 0.5000
11 Tc 0.5705 0.8904 0.5000
12 Tc 0.4295 0.1096 0.5000
13 Tc 0.6679 0.4524 0.0000
14 Tc 0.3321 0.5476 0.0000
15 Tc 0.5476 0.6679 0.0000
16 Tc 0.4524 0.3321 0.0000

## Properties
**E_form**: 145 meV/atom
**SG**: P4/m (83)
**Spin magnetization**: 0.0 Bohr magnetons per cell
**Calculated volume**: 309.4 Å³ per cell

No. 5
Sc5Tc4: optimized geometry, PBE-GGA.

Unit cell a=7.2571 b=7.2571 c=7.2571 alpha=92.84 beta=92.84 gamma=154.30
Atoms (fractional coordinates):
1 Sc 0.0000 0.0000 0.0000
2 Sc 0.3322 0.6678 0.0000
3 Sc 0.6678 0.3322 0.0000
4 Sc 0.6678 0.6678 0.3357
5 Sc 0.3322 0.3322 0.6643
6 Tc 0.3479 0.0000 0.3479
7 Tc 0.6521 0.0000 0.6521
8 Tc 0.0000 0.6521 0.6521
9 Tc 0.0000 0.3479 0.3479

## Properties
**E_form**: 56 meV/atom
**SG**: I4/mmm (139)
**Spin magnetization**: 0.0 Bohr magnetons per cell
**Calculated volume**: 161.6 Å³ per cell

No. 6
ScTc: optimized geometry, PBE-GGA.

Unit cell a=7.9505 b=7.9505 c=7.9505 alpha=90.00 beta=90.00 gamma=90.00
Last column: magnetic moment on the atom in μB.
Atoms (fractional coordinates):
1 Sc 0.2116 0.2116 0.2116  0.18
2 Sc 0.2116 0.7884 0.7884  0.18
3 Sc 0.7884 0.2116 0.7884  0.18
4 Sc 0.7884 0.7884 0.2116  0.18
5 Sc 0.7116 0.7116 0.7116  0.18
6 Sc 0.7116 0.2884 0.2884  0.18
7 Sc 0.2884 0.7116 0.2884  0.18
8 Sc 0.2884 0.2884 0.7116  0.18
9 Tc 0.3847 0.3847 0.3847  1.19
10 Tc 0.3847 0.6153 0.6153  1.19
11 Tc 0.6153 0.3847 0.6153  1.19
12 Tc 0.6153 0.6153 0.3847  1.19
13 Tc 0.8847 0.8847 0.8847  1.19
14 Tc 0.8847 0.1153 0.1153  1.19
15 Tc 0.1153 0.8847 0.1153  1.19
16 Tc 0.1153 0.1153 0.8847  1.19

## Properties
**E_form**: 1328 meV/atom
**SG**: I-43m (217)
**Spin magnetization**: 12.8 Bohr magnetons per cell
**Calculated volume**: 502.6 Å³ per cell

No. 7
Sc5Tc3: optimized geometry, PBE-GGA.

Unit cell a=5.3414 b=7.9812 c=7.9811 alpha=96.06 beta=109.01 gamma=70.99
Atoms (fractional coordinates):
1 Sc 0.7504 0.4913 0.4917
2 Sc 0.2504 0.5087 0.5091
3 Sc 0.2214 0.8607 0.2985
4 Sc 0.7799 0.1392 0.7025
5 Sc 0.2798 0.2979 0.8612
6 Sc 0.7214 0.7019 0.1397
7 Sc 0.4259 0.8633 0.7011
8 Sc 0.5748 0.1369 0.2997
9 Sc 0.9258 0.2993 0.1371
10 Sc 0.0748 0.7008 0.8635
11 Tc 0.2507 0.9992 0.9998
12 Tc 0.7507 0.0006 0.0013
13 Tc 0.6267 0.5025 0.8310
14 Tc 0.3734 0.4977 0.1699
15 Tc 0.8737 0.8305 0.5026
16 Tc 0.1268 0.1695 0.4979

## Properties
**E_form**: -86 meV/atom
**SG**: C2/c (15)
**Spin magnetization**: 0.0 Bohr magnetons per cell
**Calculated volume**: 304.1 Å³ per cell

No. 8
ScTc3: optimized geometry, PBE-GGA.

Unit cell a=4.6909 b=4.6909 c=4.6909 alpha=90.00 beta=90.00 gamma=90.00
Last column: magnetic moment on the atom in μB.
Atoms (fractional coordinates):
1 Sc 0.0000 0.0000 0.0000  -0.13
2 Tc 0.5000 0.0000 0.0000  1.10
3 Tc 0.0000 0.5000 0.0000  1.10
4 Tc 0.0000 0.0000 0.5000  1.10

## Properties
**E_form**: 2899 meV/atom
**SG**: Pm-3m (221)
**Spin magnetization**: 3.6 Bohr magnetons per cell
**Calculated volume**: 103.2 Å³ per cell

No. 9
ScTc: optimized geometry, PBE-GGA.

Unit cell a=3.0266 b=9.4718 c=3.0266 alpha=99.19 beta=120.00 gamma=90.00
Atoms (fractional coordinates):
1 Sc 0.0109 0.0328 0.0218
2 Sc 0.2391 0.7172 0.4782
3 Tc 0.4931 0.4792 0.9862
4 Tc 0.7569 0.2708 0.5138

## Properties
**E_form**: 149 meV/atom
**SG**: R-3m (166)
**Spin magnetization**: 0.0 Bohr magnetons per cell
**Calculated volume**: 73.9 Å³ per cell

No. 10
Sc5Tc3: optimized geometry, PBE-GGA.

Unit cell a=7.8393 b=7.8393 c=5.8080 alpha=90.00 beta=90.00 gamma=60.00
Atoms (fractional coordinates):
1 Sc 0.7392 0.2608 0.2500
2 Sc 0.2608 0.7392 0.7500
3 Sc 0.2608 0.0000 0.2500
4 Sc 0.0000 0.2608 0.7500
5 Sc 0.6667 0.6667 0.0000
6 Sc 0.6667 0.6667 0.5000
7 Sc 0.3333 0.3333 0.0000
8 Sc 0.3333 0.3333 0.5000
9 Sc 0.7392 0.0000 0.7500
10 Sc 0.0000 0.7392 0.2500
11 Tc 0.6049 0.3951 0.7500
12 Tc 0.3951 0.6048 0.2500
13 Tc 0.3952 0.0000 0.7500
14 Tc 0.0000 0.3952 0.2500
15 Tc 0.6048 0.0000 0.2500
16 Tc 0.0000 0.6048 0.7500

## Properties
**E_form**: -138 meV/atom
**SG**: P6_3/mcm (193)
**Spin magnetization**: 0.0 Bohr magnetons per cell
**Calculated volume**: 309.1 Å³ per cell

No. 11
ScTc5: optimized geometry, PBE-GGA.

Unit cell a=4.7931 b=4.7931 c=4.6177 alpha=90.00 beta=90.00 gamma=120.00
Atoms (fractional coordinates):
1 Sc 0.0000 0.0000 0.5000
2 Tc 0.6659 0.0000 0.0000
3 Tc 0.3341 0.3341 0.0000
4 Tc 0.0000 0.6659 0.0000
5 Tc 0.6667 0.3333 0.5000
6 Tc 0.3333 0.6667 0.5000

## Properties
**E_form**: 109 meV/atom
**SG**: P-62m (189)
**Spin magnetization**: 0.0 Bohr magnetons per cell
**Calculated volume**: 91.9 Å³ per cell

No. 12
Sc4Tc5: optimized geometry, PBE-GGA.

Unit cell a=8.1639 b=8.1639 c=5.2949 alpha=90.00 beta=90.00 gamma=60.00
Atoms (fractional coordinates):
1 Sc 0.0000 0.0000 0.0000
2 Sc 0.0000 0.0000 0.5000
3 Sc 0.6214 0.3786 0.2500
4 Sc 0.0000 0.6214 0.2500
5 Sc 0.3786 0.0000 0.2500
6 Sc 0.3786 0.6214 0.7500
7 Sc 0.0000 0.3786 0.7500
8 Sc 0.6214 0.0000 0.7500
9 Tc 0.3005 0.6995 0.2500
10 Tc 0.0000 0.3005 0.2500
11 Tc 0.6995 0.0000 0.2500
12 Tc 0.6995 0.3005 0.7500
13 Tc 0.0000 0.6995 0.7500
14 Tc 0.3005 0.0000 0.7500
15 Tc 0.3333 0.3333 0.0000
16 Tc 0.6667 0.6667 0.5000
17 Tc 0.6667 0.6667 0.0000
18 Tc 0.3333 0.3333 0.5000

## Properties
**E_form**: 102 meV/atom
**SG**: P6_3/mcm (193)
**Spin magnetization**: 0.0 Bohr magnetons per cell
**Calculated volume**: 305.6 Å³ per cell

no.,calculated total energy (eV per atom)
1,-9.60
2,-7.10
3,-6.43
4,-8.20
5,-8.07
6,-7.02
7,-7.93
8,-6.46
9,-8.20
10,-7.98
11,-9.58
12,-8.47